Crystalline Mg14TiZn at its relaxed geometry, computed with PBE-GGA.

abc: 6.318 6.318 10.080
angles: 90.00 90.00 120.64
Positions (direct):
1 Mg 0.334 0.666 0.000
2 Mg 0.327 0.164 0.500
3 Mg 0.171 0.829 0.254
4 Mg 0.334 0.169 0.000
5 Mg 0.836 0.673 0.500
6 Mg 0.831 0.666 0.000
7 Mg 0.171 0.829 0.746
8 Mg 0.671 0.329 0.739
9 Mg 0.662 0.833 0.738
10 Mg 0.662 0.833 0.262
11 Mg 0.167 0.338 0.738
12 Mg 0.833 0.167 0.000
13 Mg 0.167 0.338 0.262
14 Mg 0.671 0.329 0.261
15 Ti 0.329 0.671 0.500
16 Zn 0.836 0.164 0.500

Space group: Amm2
Relative energy among the computed polymorphs (eV/atom): 0.000
Energy of formation (eV per atom): 0.03
Magnetization (μB/atom): 0.000
Fermi-level density of states (states/eV per atom): 0.4396